# 1
## Co3SnPb (PBE)

Data for crystalline Co3SnPb at its relaxed geometry.

CIF file:
```
data_Co3SnPb
_chemical_formula_sum 'Co3 Sn1 Pb1'
_symmetry_space_group_name_H-M 'P m -3 m'
_symmetry_Int_Tables_number 221
_symmetry_space_group_name_Hall '-P 4 2 3'
_cell_length_a 4.803
_cell_length_b 4.803
_cell_length_c 4.803
_cell_angle_alpha 90.00
_cell_angle_beta 90.00
_cell_angle_gamma 90.00
loop_
_atom_site_label
_atom_site_fract_x
_atom_site_fract_y
_atom_site_fract_z
_atom_site_occupancy
Co1 0.000 0.000 0.500 1
Sn1 0.500 0.500 0.500 1
Pb1 0.000 0.000 0.000 1
```

Results
raw total energy: -22.048 eV/cell
formation enthalpy at 0 K: 7.0 eV per formula unit
DOS at the Fermi energy: 7.9 states/eV/f.u.

# 2
## HoScSb2 (PBE)

Data for crystalline HoScSb2 at its relaxed geometry.

CIF file:
```
data_HoScSb2
_chemical_formula_sum 'Ho2 Sc2 Sb4'
_symmetry_space_group_name_H-M 'P m m n'
_symmetry_Int_Tables_number 59
_cell_length_a 4.264
_cell_length_b 6.057
_cell_length_c 8.526
_cell_angle_alpha 90.00
_cell_angle_beta 90.00
_cell_angle_gamma 90.00
loop_
_symmetry_equiv_pos_as_xyz
'x,y,z'
'-x,-y,-z'
'-x+1/2,-y+1/2,z'
'x+1/2,y+1/2,-z'
'x+1/2,-y,-z'
'-x+1/2,y,z'
'-x,y+1/2,-z'
'x,-y+1/2,z'
loop_
_atom_site_label
_atom_site_fract_x
_atom_site_fract_y
_atom_site_fract_z
_atom_site_occupancy
Ho1 0.250 0.250 0.127 1
Sc1 0.250 0.250 0.624 1
Sb1 0.250 0.750 0.134 1
Sb2 0.250 0.750 0.614 1
```

Results
formation energy (no corrections): -98.0 kJ/mol of atoms
raw total energy: -46.438 eV/cell
DOS at the Fermi energy: 0.6 states/eV/f.u.

# 3
## Ce2ZnAs3Ir4 (PBE)

Data for crystalline Ce2ZnAs3Ir4 at its relaxed geometry.

CIF file:
```
data_Ce2ZnAs3Ir4
_chemical_formula_sum 'Ce2 Zn1 As3 Ir4'
_symmetry_space_group_name_H-M 'P -4 m 2'
_symmetry_Int_Tables_number 115
_cell_length_a 4.135
_cell_length_b 4.135
_cell_length_c 10.644
_cell_angle_alpha 90.00
_cell_angle_beta 90.00
_cell_angle_gamma 90.00
loop_
_symmetry_equiv_pos_as_xyz
'x,y,z'
'y,-x,-z'
'-x,-y,z'
'-y,x,-z'
'-x,y,z'
'-y,-x,-z'
'x,-y,z'
'y,x,-z'
loop_
_atom_site_label
_atom_site_fract_x
_atom_site_fract_y
_atom_site_fract_z
_atom_site_occupancy
Ce1 0.000 0.500 0.248 1
Zn1 0.500 0.500 0.000 1
As1 0.000 0.000 0.000 1
As2 0.000 0.500 0.635 1
Ir1 0.000 0.000 0.500 1
Ir2 0.000 0.500 0.860 1
Ir3 0.500 0.500 0.500 1
```

Results
raw total energy: -69.752 eV/cell
formation enthalpy at 0 K: -7.2 eV per formula unit
DOS at the Fermi energy: 7.1 states/eV/f.u.

# 4
## NdSc2Pt (PBE)

Data for crystalline NdSc2Pt at its relaxed geometry.

CIF file:
```
data_NdSc2Pt
_chemical_formula_sum 'Nd3 Sc6 Pt3'
_symmetry_space_group_name_H-M 'R 3 m'
_symmetry_Int_Tables_number 160
_symmetry_space_group_name_Hall 'R 3 -2"'
_cell_length_a 4.5366
_cell_length_b 4.5366
_cell_length_c 17.5369
_cell_angle_alpha 90.00
_cell_angle_beta 90.00
_cell_angle_gamma 120.00
loop_
_atom_site_label
_atom_site_fract_x
_atom_site_fract_y
_atom_site_fract_z
_atom_site_occupancy
Nd1 0.0000 0.0000 0.0000 1
Sc1 0.0000 0.0000 0.2100 1
Sc2 0.0000 0.0000 0.4493 1
Pt1 0.0000 0.0000 0.8224 1
```

Results
raw total energy: -76.873 eV/cell
formation enthalpy at 0 K: -2.2 eV per formula unit
DOS at the Fermi energy: 3.8 states/eV/f.u.